No. 1
A plane-wave DFT calculation with PBE was carried out for crystalline Li2CeTi3O8 at its relaxed geometry.

The structure in extended XYZ format:
```
14
Lattice="-5.231 0.369 3.119 -5.011 -2.772 -2.107 -2.150 -5.083 2.964" Properties=species:S:1:pos:R:3 pbc="T T T"
Li -2.589 -3.596 2.052
Li -6.202 -3.721 1.974
O -6.671 -4.452 4.051
O -3.142 -1.722 0.902
O -8.036 -2.864 1.382
O -9.236 -5.809 3.101
O -5.770 -3.024 0.031
O -5.866 -1.664 2.295
O -6.569 -5.913 1.620
O -4.238 -4.624 2.600
Ce -9.780 -3.965 1.970
Ti -4.802 -4.903 4.462
Ti -7.220 -6.240 3.446
Ti -4.696 -6.418 1.941
```

Output
Formation energy (no corrections) = -2.833 eV per atom
Raw total energy = -8.0553 eV per atom
N(E_F) = 7.7 states/eV/f.u.

No. 2
A plane-wave DFT calculation with PBE was carried out for crystalline Li2CeTlO4 at its relaxed geometry.

The structure in extended XYZ format:
```
8
Lattice="-1.524 -4.121 1.336 3.714 -1.972 -1.847 1.393 3.568 4.701" Properties=species:S:1:pos:R:3 pbc="T T T"
O 1.346 0.282 2.405
O 1.922 -0.972 -0.807
O 2.237 -2.808 1.785
O 4.279 -0.479 3.405
Li 0.000 0.000 0.000
Li 3.101 -0.726 1.299
Tl 0.482 -1.800 2.890
Ce 1.095 -3.047 -0.256
```

Output
Formation energy (no corrections) = -2.014 eV per atom
Raw total energy = -6.0090 eV per atom
N(E_F) = 2.5 states/eV/f.u.

No. 3
A plane-wave DFT calculation with PBE was carried out for crystalline Li2Ce2TmO6 at its relaxed geometry.

The structure in extended XYZ format:
```
11
Lattice="-2.921 5.031 -0.555 -3.640 0.784 -4.505 -6.393 -0.169 1.346" Properties=species:S:1:pos:R:3 pbc="T T T"
O -8.157 1.750 -2.746
O -7.766 4.058 -0.601
O -6.179 1.324 -0.299
O -6.775 4.323 -3.415
O -5.188 1.589 -3.114
O -4.797 3.897 -0.968
Ce -8.932 4.628 -3.351
Ce -4.022 1.019 -0.364
Tm 0.000 0.000 0.000
Li -7.401 2.360 -1.191
Li -5.553 3.286 -2.523
```

Output
Formation energy (no corrections) = -2.697 eV per atom
Raw total energy = -7.2352 eV per atom
N(E_F) = 5.4 states/eV/f.u.

No. 4
A plane-wave DFT calculation with PBE was carried out for crystalline Li2CeUO6 at its relaxed geometry.

The structure in extended XYZ format:
```
10
Lattice="5.432 0.000 0.000 2.716 4.703 0.000 2.716 1.568 5.212" Properties=species:S:1:pos:R:3 pbc="T T T"
O 3.694 3.251 4.323
O 4.464 4.824 1.429
O 4.453 1.454 1.429
O 6.398 4.583 4.322
O 7.378 3.129 1.429
O 6.201 1.574 4.322
Li 2.715 1.568 4.842
Li 5.432 3.136 0.905
U 2.716 1.568 0.269
Ce 8.147 4.704 2.875
```

Output
Formation energy (no corrections) = -2.898 eV per atom
Raw total energy = -7.9783 eV per atom
N(E_F) = 0.0 states/eV/f.u.